This record from Alexandria via LeMat-Bulk describes a geometry-optimized La5CuPb3 structure. The functional is PBE.

a b c (Å): 9.7912 9.7912 7.0030
angles (deg): 90.00 90.00 120.00
Closest atoms and distances in Å follow each position.
Space group P6_3/mcm (No. 193)
Inequivalent atoms, fractional coordinates:
La 0.0000 0.2588 0.2500 (multiplicity 6)  2 Cu 3.08, 2 Pb 3.32
La 0.3333 0.6667 0.0000 (multiplicity 4)  2 La 3.50, 6 Pb 3.51
Cu 0.0000 0.0000 0.0000 (multiplicity 2)  6 La 3.08
Pb 0.0000 0.3840 0.7500 (multiplicity 6)  9 La 3.32-3.71

Calculated values
Calculated formation energy   -4.65 eV per formula unit
Size of the total moment   0.00 μB per cell
Total DFT energy (no corrections)   -4.95 eV/atom

=====

This record from Alexandria via LeMat-Bulk describes a geometry-optimized CaH2Se structure. The functional is PBE.

a b c (Å): 5.9384 5.9384 5.9384
angles (deg): 90.00 90.00 90.00
Closest atoms and distances in Å follow each position.
Space group Fm-3m (No. 225)
Inequivalent atoms, fractional coordinates:
Ca 0.0000 0.0000 0.0000 (multiplicity 4)  8 H 2.57
H 0.2500 0.2500 0.2500 (multiplicity 8)  4 Se 2.57, 4 Ca 2.57
Se 0.0000 0.0000 0.5000 (multiplicity 4)  8 H 2.57

Calculated values
Size of the total moment   0.00 μB per cell
Total DFT energy (no corrections)   -3.31 eV/atom

=====

This record from Alexandria via LeMat-Bulk describes a geometry-optimized AlTcNO2 structure. The functional is PBE.

a b c (Å): 3.5839 3.5839 3.9207
angles (deg): 90.00 90.00 90.00
Closest atoms and distances in Å follow each position.
Space group P4/mmm (No. 123)
Inequivalent atoms, fractional coordinates:
Al 0.0000 0.0000 0.0000 (multiplicity 1)  4 O 1.79, 2 N 1.96
Tc 0.5000 0.5000 0.5000 (multiplicity 1)  4 N 2.53, 8 O 2.66
N 0.0000 0.0000 0.5000 (multiplicity 1)  2 Al 1.96
O 0.0000 0.5000 0.0000 (multiplicity 2)  2 Al 1.79

Calculated values
Size of the total moment   2.94 μB per cell
Energy relative to the elements, uncorrected   -0.515 eV/atom
Total DFT energy (no corrections)   -6.99 eV/atom

=====

This record from Alexandria via LeMat-Bulk describes a geometry-optimized LiTmAu structure. The functional is PBE.

a b c (Å): 4.5751 4.5751 6.6434
angles (deg): 90.00 90.00 120.00
Closest atoms and distances in Å follow each position.
Space group P6_3/mmc (No. 194)
Inequivalent atoms, fractional coordinates:
Li 0.3333 0.6667 0.2500 (multiplicity 2)  3 Au 2.64
Tm 0.0000 0.0000 0.0000 (multiplicity 2)  6 Li 3.12, 6 Au 3.12, 2 Tm 3.32
Au 0.3333 0.6667 0.7500 (multiplicity 2)  3 Li 2.64

Calculated values
Calculated formation energy   -1.64 eV per formula unit
Size of the total moment   0.00 μB per cell
Total DFT energy (no corrections)   -3.77 eV/atom

=====

This record from Alexandria via LeMat-Bulk describes a geometry-optimized LaZrSc2N structure. The functional is PBE.

a b c (Å): 4.9497 4.9497 5.7197
angles (deg): 90.00 90.00 90.00
Closest atoms and distances in Å follow each position.
Space group P4/mmm (No. 123)
Inequivalent atoms, fractional coordinates:
La 0.0000 0.0000 0.0000 (multiplicity 1)  2 Zr 2.86
Zr 0.0000 0.0000 0.5000 (multiplicity 1)  4 Sc 2.47
Sc 0.0000 0.5000 0.5000 (multiplicity 2)  2 Zr 2.47
N 0.5000 0.5000 0.0000 (multiplicity 1)  4 La 3.50, 8 Sc 3.78

Calculated values
Size of the total moment   0.04 μB per cell
Energy relative to the elements, uncorrected   1.526 eV/atom
Total DFT energy (no corrections)   -5.37 eV/atom

=====

This record from Alexandria via LeMat-Bulk describes a geometry-optimized PmZrTlPd structure. The functional is PBE.

a b c (Å): 7.2319 7.2319 7.2319
angles (deg): 90.00 90.00 90.00
Closest atoms and distances in Å follow each position.
Space group F-43m (No. 216)
Inequivalent atoms, fractional coordinates:
Pm 0.0000 0.0000 0.0000 (multiplicity 4)  4 Tl 3.13, 4 Pd 3.13
Zr 0.0000 0.0000 0.5000 (multiplicity 4)  4 Tl 3.13, 4 Pd 3.13
Tl 0.2500 0.2500 0.7500 (multiplicity 4)  4 Pm 3.13, 4 Zr 3.13
Pd 0.2500 0.2500 0.2500 (multiplicity 4)  4 Zr 3.13, 4 Pm 3.13

Calculated values
Calculated formation energy   -1.09 eV per formula unit
Size of the total moment   2.83 μB per cell
Total DFT energy (no corrections)   -5.49 eV/atom

=====

This record from Alexandria via LeMat-Bulk describes a geometry-optimized SrLiBe2 structure. The functional is PBE.

a b c (Å): 7.0996 4.0924 5.9332
angles (deg): 90.00 113.30 90.00
Closest atoms and distances in Å follow each position.
Space group Cm (No. 8)
Inequivalent atoms, fractional coordinates:
Sr 0.0000 0.0000 0.0000 (multiplicity 2)  4 Li 3.03-3.38, 7 Be 3.19-3.35
Li 0.3151 0.5000 0.4432 (multiplicity 2)  6 Be 2.46-2.49
Be 0.0220 0.5000 0.5645 (multiplicity 2)  3 Be 2.37, 3 Li 2.46
Be 0.1957 0.0000 0.5862 (multiplicity 2)  3 Be 2.37, 3 Li 2.49

Calculated values
Calculated formation energy   1.16 eV per formula unit
Size of the total moment   0.00 μB per cell
Total DFT energy (no corrections)   -2.47 eV/atom

=====

This record from Alexandria via LeMat-Bulk describes a geometry-optimized Dy2MnPd8 structure. The functional is PBE.

a b c (Å): 15.1183 4.5225 6.1586
angles (deg): 90.00 112.60 90.00
Closest atoms and distances in Å follow each position.
Space group C2/m (No. 12)
Inequivalent atoms, fractional coordinates:
Dy 0.1983 0.0000 0.1915 (multiplicity 4)  10 Pd 2.81-3.07
Mn 0.0000 0.5000 0.5000 (multiplicity 2)  4 Pd 2.49-2.50
Pd 0.0032 0.0000 0.2372 (multiplicity 4)  2 Mn 2.79, 7 Pd 2.86-2.92, 1 Dy 3.07
Pd 0.1271 0.5000 0.9061 (multiplicity 4)  1 Mn 2.50, 1 Pd 2.78
Pd 0.1360 0.5000 0.3662 (multiplicity 4)  1 Mn 2.49, 1 Pd 2.78
Pd 0.1681 0.0000 0.6699 (multiplicity 4)  8 Pd 2.85-3.19, 4 Dy 2.93-3.15

Calculated values
Calculated formation energy   -5.83 eV per formula unit
Size of the total moment   9.04 μB per cell
Total DFT energy (no corrections)   -5.98 eV/atom